The following is a DFT calculation (GGA-PBE) of Ce2NiRu after structural relaxation.

Properties
Energy of formation, meV/atom: -367

Cell and atoms, written as CIF:
```
data_Ce2NiRu
_chemical_formula_sum 'Ce8 Ni4 Ru4'
_symmetry_space_group_name_H-M 'P 1 21/c 1'
_symmetry_Int_Tables_number 14
_cell_length_a 6.930
_cell_length_b 5.571
_cell_length_c 10.890
_cell_angle_alpha 90.00
_cell_angle_beta 129.02
_cell_angle_gamma 90.00
loop_
_symmetry_equiv_pos_as_xyz
'x,y,z'
'-x,-y,-z'
'-x,y+1/2,-z+1/2'
'x,-y+1/2,z+1/2'
loop_
_atom_site_label
_atom_site_fract_x
_atom_site_fract_y
_atom_site_fract_z
Ce1 0.183 0.153 0.347
Ce2 0.284 0.674 0.603
Ni1 0.370 0.656 0.376
Ru1 0.204 0.172 0.616
```


The following is a DFT calculation (GGA-PBE) of KLaRu2 after structural relaxation.

Properties
Energy of formation, meV/atom: 899

Cell and atoms, written as CIF:
```
data_KLaRu2
_chemical_formula_sum 'K3 La3 Ru6'
_symmetry_space_group_name_H-M 'R 3 m'
_symmetry_Int_Tables_number 160
_symmetry_space_group_name_Hall 'R 3 -2"'
_cell_length_a 3.0483
_cell_length_b 3.0483
_cell_length_c 33.8742
_cell_angle_alpha 90.00
_cell_angle_beta 90.00
_cell_angle_gamma 120.00
loop_
_atom_site_label
_atom_site_fract_x
_atom_site_fract_y
_atom_site_fract_z
K1 0.0000 0.0000 0.0000
La1 0.0000 0.0000 0.7824
Ru1 0.0000 0.0000 0.2489
Ru2 0.0000 0.0000 0.5262
```


The following is a DFT calculation (GGA-PBE) of Ce2Th13 after structural relaxation.

Properties
Energy of formation, meV/atom: 773

Cell and atoms, written as CIF:
```
data_Ce2Th13
_chemical_formula_sum 'Ce6 Th39'
_symmetry_space_group_name_H-M 'R -3 m'
_symmetry_Int_Tables_number 166
_symmetry_space_group_name_Hall '-R 3 2"'
_cell_length_a 11.9856
_cell_length_b 11.9856
_cell_length_c 13.7054
_cell_angle_alpha 90.00
_cell_angle_beta 90.00
_cell_angle_gamma 120.00
loop_
_atom_site_label
_atom_site_fract_x
_atom_site_fract_y
_atom_site_fract_z
Ce1 0.0000 0.0000 0.2208
Th1 0.0000 0.0000 0.0000
Th2 0.0384 0.5192 0.7379
Th3 0.0978 0.1956 0.3910
```


The following is a DFT calculation (GGA-PBE) of BaSc2Cl after structural relaxation.

Properties
E_form (uncorrected), kJ/mol of formula units: -104

Cell and atoms, written as CIF:
```
data_BaSc2Cl
_chemical_formula_sum 'Ba1 Sc2 Cl1'
_symmetry_space_group_name_H-M 'P m m m'
_symmetry_Int_Tables_number 47
_cell_length_a 3.662
_cell_length_b 5.045
_cell_length_c 7.290
_cell_angle_alpha 90.00
_cell_angle_beta 90.00
_cell_angle_gamma 90.00
loop_
_symmetry_equiv_pos_as_xyz
'x,y,z'
'-x,-y,-z'
'-x,-y,z'
'x,y,-z'
'x,-y,-z'
'-x,y,z'
'-x,y,-z'
'x,-y,z'
loop_
_atom_site_label
_atom_site_fract_x
_atom_site_fract_y
_atom_site_fract_z
Ba1 0.000 0.000 0.000
Sc1 0.000 0.500 0.500
Sc2 0.500 0.000 0.500
Cl1 0.500 0.500 0.000
```


The following is a DFT calculation (GGA-PBE) of TaBeTc after structural relaxation.

Properties
Energy of formation, meV/atom: 107

Cell and atoms, written as CIF:
```
data_TaBeTc
_chemical_formula_sum 'Ta2 Be2 Tc2'
_symmetry_space_group_name_H-M 'I 4 m m'
_symmetry_Int_Tables_number 107
_symmetry_space_group_name_Hall 'I 4 -2'
_cell_length_a 2.748
_cell_length_b 2.748
_cell_length_c 11.003
_cell_angle_alpha 90.00
_cell_angle_beta 90.00
_cell_angle_gamma 90.00
loop_
_atom_site_label
_atom_site_fract_x
_atom_site_fract_y
_atom_site_fract_z
Ta1 0.000 0.000 0.000
Be1 0.000 0.000 0.660
Tc1 0.000 0.000 0.296
```


The following is a DFT calculation (GGA-PBE) of ZrPaPtRh after structural relaxation.

Properties
Energy of formation, meV/atom: -900

Cell and atoms, written as CIF:
```
data_ZrPaPtRh
_chemical_formula_sum 'Zr2 Pa2 Pt2 Rh2'
_symmetry_space_group_name_H-M 'A m m 2'
_symmetry_Int_Tables_number 38
_cell_length_a 4.442
_cell_length_b 3.598
_cell_length_c 10.279
_cell_angle_alpha 90.00
_cell_angle_beta 90.00
_cell_angle_gamma 90.00
loop_
_symmetry_equiv_pos_as_xyz
'x,y,z'
'-x,-y,z'
'-x,y,z'
'x,-y,z'
'x,y+1/2,z+1/2'
'-x,-y+1/2,z+1/2'
'-x,y+1/2,z+1/2'
'x,-y+1/2,z+1/2'
loop_
_atom_site_label
_atom_site_fract_x
_atom_site_fract_y
_atom_site_fract_z
Zr1 0.000 0.000 0.000
Pa1 0.500 0.000 0.282
Pt1 0.000 0.000 0.731
Rh1 0.500 0.000 0.540
```


The following is a DFT calculation (GGA-PBE) of BaSbO2F after structural relaxation.

Properties
E_form (uncorrected), kJ/mol of formula units: -129

Cell and atoms, written as CIF:
```
data_BaSbO2F
_chemical_formula_sum 'Ba1 Sb1 O2 F1'
_symmetry_space_group_name_H-M 'P 4/m m m'
_symmetry_Int_Tables_number 123
_symmetry_space_group_name_Hall '-P 4 2'
_cell_length_a 4.341
_cell_length_b 4.341
_cell_length_c 8.524
_cell_angle_alpha 90.00
_cell_angle_beta 90.00
_cell_angle_gamma 90.00
loop_
_atom_site_label
_atom_site_fract_x
_atom_site_fract_y
_atom_site_fract_z
Ba1 0.000 0.000 0.000
Sb1 0.000 0.000 0.500
O1 0.000 0.500 0.000
F1 0.500 0.500 0.500
```


The following is a DFT calculation (GGA-PBE) of KZrNpS4 after structural relaxation.

Properties
E_form (uncorrected), kJ/mol of formula units: -944

Cell and atoms, written as CIF:
```
data_KZrNpS4
_chemical_formula_sum 'K4 Zr4 Np4 S16'
_symmetry_space_group_name_H-M 'I m m a'
_symmetry_Int_Tables_number 74
_symmetry_space_group_name_Hall '-I 2b 2'
_cell_length_a 7.858
_cell_length_b 8.644
_cell_length_c 11.397
_cell_angle_alpha 90.00
_cell_angle_beta 90.00
_cell_angle_gamma 90.00
loop_
_atom_site_label
_atom_site_fract_x
_atom_site_fract_y
_atom_site_fract_z
K1 0.000 0.250 0.144
Zr1 0.250 0.250 0.750
Np1 0.000 0.000 0.500
S1 0.000 0.050 0.741
S2 0.218 0.250 0.523
```


Number 1: calculated total energy -0.5217 Ry/atom. Number 2: calculated total energy -0.3855 Ry/atom. Number 3: calculated total energy -0.4740 Ry/atom. Number 4: calculated total energy -0.3218 Ry/atom. Number 5: calculated total energy -0.6278 Ry/atom. Number 6: calculated total energy -0.6438 Ry/atom. Number 7: calculated total energy -0.2817 Ry/atom. Number 8: calculated total energy -0.5132 Ry/atom.